Record 1
3
Lattice="4.281 0.000 0.000 0.000 4.382 0.000 0.000 -2.191 3.795" Properties=species:S:1:pos:R:3 comment="InAgS | Alexandria | GGA-PBE | relaxed" e_form_raw_ev_per_atom=-0.1043 m_tot_mub_per_fu=0.0 pbc="T T T"
In 2.850 2.191 1.265
Ag 0.718 0.000 2.530
S 0.712 0.000 0.000

Record 2
18
Lattice="-5.213 0.093 1.878 -3.966 -2.782 -2.693 -0.546 -11.761 7.248" Properties=species:S:1:pos:R:3 comment="Tb2Ga7 | Alexandria | GGA-PBE | relaxed" formation_energy_ev_per_atom=-0.32 m_tot_mub_per_fu=0.0 pbc="T T T"
Ga -3.349 -9.505 3.343
Ga -7.084 -11.740 5.449
Ga -3.705 -4.992 2.128
Ga -4.590 -1.344 -0.408
Ga -5.690 -3.649 0.742
Ga -1.983 -1.391 -1.347
Ga -3.988 -8.032 5.684
Ga -5.737 -6.417 0.749
Ga -2.640 -2.709 0.983
Ga -4.862 -7.225 3.216
Ga -4.035 -10.800 5.691
Ga -6.019 -9.457 4.305
Ga -6.376 -4.944 3.090
Ga -2.607 0.047 0.939
Tb -0.919 -10.147 6.131
Tb -8.806 -4.302 0.302
Tb -1.665 -6.925 3.901
Tb -8.060 -7.524 2.532

Record 3
12
Lattice="4.742 -0.054 -0.003 -0.040 4.741 -0.005 0.004 0.007 6.529" Properties=species:S:1:pos:R:3 comment="PaZn2RuO8 | Alexandria | GGA-PBE | relaxed" e_form_raw_ev_per_atom=-1.6780 m_tot_mub_per_fu=0.0 pbc="T T T"
Zn 2.354 2.349 4.939
Zn 2.352 2.345 1.583
O 1.446 1.443 3.262
O 0.885 3.821 5.074
O 0.883 3.817 1.446
O 1.322 1.321 6.527
O 3.823 0.877 5.075
O 3.383 3.373 -0.006
O 3.259 3.251 3.259
O 3.821 0.873 1.447
Ru 0.000 0.000 0.000
Pa 0.002 0.004 3.265

Record 4
4
Lattice="-0.942 0.583 4.162 -4.071 -0.363 1.358 -1.167 -3.356 2.435" Properties=species:S:1:pos:R:3 comment="Cr2AsSe | Alexandria | GGA-PBE | relaxed" e_form_raw_ev_per_atom=0.1426 m_tot_mub_per_fu=2.9 pbc="T T T"
Cr -1.545 -0.784 1.989
Cr -4.635 -2.352 5.967
As 0.000 0.000 0.000
Se -3.090 -1.568 3.978